1.
VASP calculation (PBE-GGA) on a relaxed V7Tc2Os3 crystal. Values from VASP.

```
&SYSTEM
  ibrav = 0, nat = 12, ntyp = 3
/
ATOMIC_SPECIES
V 50.94 V.upf
Tc 98.00 Tc.upf
Os 190.23 Os.upf
CELL_PARAMETERS angstrom
2.113 -10.258 0.000
2.113 10.258 0.000
0.000 0.000 4.189
ATOMIC_POSITIONS angstrom
V 0.000 0.000 0.000
V 2.113 8.683 2.094
V 2.113 4.368 0.000
V 2.113 1.464 0.000
V 2.113 -1.464 0.000
V 2.113 -4.368 0.000
V 2.113 -8.683 2.094
Tc 2.113 7.203 0.000
Tc 2.113 -7.203 0.000
Os 2.113 3.011 2.094
Os 2.113 0.000 2.094
Os 2.113 -3.011 2.094
```

Results
space-group type = Cmmm (65)
energy = -9.804 eV per atom
DFT formation energy = 0.05 eV/atom
crystal system = orthorhombic

***

2.
VASP calculation (PBE-GGA) on a relaxed V5TcOs2 crystal. Values from VASP.

```
&SYSTEM
  ibrav = 0, nat = 16, ntyp = 3
/
ATOMIC_SPECIES
V 50.94 V.upf
Tc 98.00 Tc.upf
Os 190.23 Os.upf
CELL_PARAMETERS angstrom
4.249 0.000 0.000
0.000 4.249 0.000
0.000 0.000 12.096
ATOMIC_POSITIONS angstrom
V 0.000 0.000 0.000
V 0.000 2.124 1.476
V 0.000 2.124 4.572
V 0.000 2.124 7.524
V 0.000 2.124 10.620
V 2.124 0.000 1.476
V 2.124 0.000 4.572
V 2.124 0.000 7.524
V 2.124 0.000 10.620
V 2.124 2.124 6.048
Tc 0.000 0.000 6.048
Tc 2.124 2.124 0.000
Os 0.000 0.000 3.016
Os 0.000 0.000 9.080
Os 2.124 2.124 3.032
Os 2.124 2.124 9.063
```

Results
space-group type = I4/mmm (139)
energy = -10.141 eV per atom
DFT formation energy = -0.34 eV/atom
crystal system = tetragonal

***

3.
VASP calculation (PBE-GGA) on a relaxed VTcOs3 crystal. Values from VASP.

```
&SYSTEM
  ibrav = 0, nat = 5, ntyp = 3
/
ATOMIC_SPECIES
V 50.94 V.upf
Tc 98.00 Tc.upf
Os 190.23 Os.upf
CELL_PARAMETERS angstrom
4.431 0.000 0.000
0.000 4.431 0.000
0.000 0.000 4.431
ATOMIC_POSITIONS angstrom
V 0.000 0.000 0.000
Tc 2.216 2.216 2.216
Os 0.000 0.000 2.216
Os 0.000 2.216 0.000
Os 2.216 0.000 0.000
```

Results
space-group type = Pm-3m (221)
distance to the lowest polymorph of the same formula = 1.7795 eV/atom
energy = -8.823 eV per atom
DFT formation energy = 1.81 eV/atom
crystal system = cubic

***

4.
VASP calculation (PBE-GGA) on a relaxed VTcOs3 crystal. Values from VASP.

```
&SYSTEM
  ibrav = 0, nat = 10, ntyp = 3
/
ATOMIC_SPECIES
V 50.94 V.upf
Tc 98.00 Tc.upf
Os 190.23 Os.upf
CELL_PARAMETERS angstrom
2.725 0.000 0.000
1.355 6.440 0.000
0.006 2.889 8.171
ATOMIC_POSITIONS angstrom
V 0.665 0.744 2.041
V 3.421 8.585 6.130
Tc 0.685 4.302 5.320
Tc 3.402 5.027 2.851
Os 0.677 3.033 1.258
Os 2.040 5.220 0.297
Os 2.046 6.723 4.616
Os 2.041 2.606 3.554
Os 2.046 4.109 7.874
Os 3.410 6.296 6.913
```

Results
space-group type = P-1 (2)
distance to the lowest polymorph of the same formula = 0.0000 eV/atom
energy = -10.602 eV per atom
DFT formation energy = 0.03 eV/atom
crystal system = triclinic

***

5.
VASP calculation (PBE-GGA) on a relaxed V6Tc2Os crystal. Values from VASP.

```
&SYSTEM
  ibrav = 0, nat = 9, ntyp = 3
/
ATOMIC_SPECIES
V 50.94 V.upf
Tc 98.00 Tc.upf
Os 190.23 Os.upf
CELL_PARAMETERS angstrom
-2.069 2.919 6.143
2.069 -2.919 6.143
2.069 2.919 -6.143
ATOMIC_POSITIONS angstrom
V 2.069 1.455 -2.054
V 0.000 1.455 0.000
V 2.069 1.455 2.054
V 0.000 1.464 4.088
V 0.000 4.383 0.000
V 0.000 1.464 8.197
Tc 0.000 0.000 2.045
Tc 0.000 0.000 10.241
Os 0.000 0.000 6.143
```

Results
space-group type = Immm (71)
energy = -9.224 eV per atom
DFT formation energy = 0.41 eV/atom
crystal system = orthorhombic

***

6.
VASP calculation (PBE-GGA) on a relaxed VTcOs crystal. Values from VASP.

```
&SYSTEM
  ibrav = 0, nat = 3, ntyp = 3
/
ATOMIC_SPECIES
V 50.94 V.upf
Tc 98.00 Tc.upf
Os 190.23 Os.upf
CELL_PARAMETERS angstrom
4.263 0.000 0.000
-2.131 3.692 0.000
0.000 0.000 2.698
ATOMIC_POSITIONS angstrom
V 0.000 0.000 0.000
Tc 2.131 1.231 0.700
Os 0.000 2.461 1.871
```

Results
space-group type = P3m1 (156)
distance to the lowest polymorph of the same formula = 0.0209 eV/atom
energy = -10.280 eV per atom
DFT formation energy = -0.04 eV/atom
crystal system = trigonal

***

7.
VASP calculation (PBE-GGA) on a relaxed VTc2Os2 crystal. Values from VASP.

```
&SYSTEM
  ibrav = 0, nat = 10, ntyp = 3
/
ATOMIC_SPECIES
V 50.94 V.upf
Tc 98.00 Tc.upf
Os 190.23 Os.upf
CELL_PARAMETERS angstrom
7.453 0.000 0.000
0.000 7.453 0.000
0.000 0.000 2.752
ATOMIC_POSITIONS angstrom
V 0.000 0.000 0.000
V 3.726 3.726 0.000
Tc 0.926 2.801 0.000
Tc 2.801 6.527 0.000
Tc 4.652 0.926 0.000
Tc 6.527 4.652 0.000
Os 1.276 5.003 1.376
Os 2.450 1.276 1.376
Os 5.003 6.177 1.376
Os 6.177 2.450 1.376
```

Results
space-group type = P4/mbm (127)
distance to the lowest polymorph of the same formula = 0.0343 eV/atom
energy = -10.226 eV per atom
DFT formation energy = 0.24 eV/atom
crystal system = tetragonal

***

8.
VASP calculation (PBE-GGA) on a relaxed V5TcOs4 crystal. Values from VASP.

```
&SYSTEM
  ibrav = 0, nat = 10, ntyp = 3
/
ATOMIC_SPECIES
V 50.94 V.upf
Tc 98.00 Tc.upf
Os 190.23 Os.upf
CELL_PARAMETERS angstrom
3.014 0.000 0.000
0.000 3.014 0.000
0.000 0.000 15.184
ATOMIC_POSITIONS angstrom
V 0.000 0.000 0.000
V 0.000 0.000 3.045
V 0.000 0.000 6.118
V 0.000 0.000 9.066
V 0.000 0.000 12.139
Tc 1.507 1.507 7.592
Os 1.507 1.507 1.510
Os 1.507 1.507 4.559
Os 1.507 1.507 10.625
Os 1.507 1.507 13.674
```

Results
space-group type = P4/mmm (123)
energy = -10.360 eV per atom
DFT formation energy = -0.27 eV/atom
crystal system = tetragonal

***

9.
VASP calculation (PBE-GGA) on a relaxed V4TcOs crystal. Values from VASP.

```
&SYSTEM
  ibrav = 0, nat = 12, ntyp = 3
/
ATOMIC_SPECIES
V 50.94 V.upf
Tc 98.00 Tc.upf
Os 190.23 Os.upf
CELL_PARAMETERS angstrom
9.035 0.000 0.000
0.000 4.198 0.000
-3.187 0.000 4.323
ATOMIC_POSITIONS angstrom
V 0.439 0.000 1.439
V -1.141 0.000 3.605
V 2.472 2.099 0.719
V 0.891 2.099 2.885
V 4.957 2.099 1.439
V 3.376 2.099 3.605
V 6.989 0.000 0.719
V 5.409 0.000 2.885
Tc 0.000 2.099 0.000
Tc 4.517 0.000 0.000
Os -1.593 2.099 2.162
Os 2.924 0.000 2.162
```

Results
space-group type = C2/m (12)
distance to the lowest polymorph of the same formula = 0.0000 eV/atom
energy = -9.985 eV per atom
DFT formation energy = -0.31 eV/atom
crystal system = monoclinic

***

10.
VASP calculation (PBE-GGA) on a relaxed VTc2Os crystal. Values from VASP.

```
&SYSTEM
  ibrav = 0, nat = 12, ntyp = 3
/
ATOMIC_SPECIES
V 50.94 V.upf
Tc 98.00 Tc.upf
Os 190.23 Os.upf
CELL_PARAMETERS angstrom
2.740 0.000 0.000
-1.370 2.373 0.000
0.000 0.000 26.647
ATOMIC_POSITIONS angstrom
V 0.000 0.000 0.000
V 0.000 1.582 17.765
V 1.370 0.791 8.882
Tc 0.000 0.000 6.653
Tc 0.000 0.000 19.993
Tc 0.000 1.582 11.111
Tc 0.000 1.582 24.418
Tc 1.370 0.791 2.229
Tc 1.370 0.791 15.536
Os 0.000 0.000 13.323
Os 0.000 1.582 4.441
Os 1.370 0.791 22.206
```

Results
space-group type = R-3m (166)
distance to the lowest polymorph of the same formula = 0.1134 eV/atom
energy = -10.171 eV per atom
DFT formation energy = 0.10 eV/atom
crystal system = trigonal

***

11.
VASP calculation (PBE-GGA) on a relaxed V3Tc2Os crystal. Values from VASP.

```
&SYSTEM
  ibrav = 0, nat = 6, ntyp = 3
/
ATOMIC_SPECIES
V 50.94 V.upf
Tc 98.00 Tc.upf
Os 190.23 Os.upf
CELL_PARAMETERS angstrom
3.022 0.000 0.000
0.000 3.022 0.000
0.000 0.000 9.076
ATOMIC_POSITIONS angstrom
V 0.000 0.000 0.000
V 0.000 0.000 2.987
V 0.000 0.000 6.090
Tc 1.511 1.511 1.514
Tc 1.511 1.511 7.562
Os 1.511 1.511 4.538
```

Results
space-group type = P4/mmm (123)
energy = -10.232 eV per atom
DFT formation energy = -0.35 eV/atom
crystal system = tetragonal

***

12.
VASP calculation (PBE-GGA) on a relaxed V3TcOs crystal. Values from VASP.

```
&SYSTEM
  ibrav = 0, nat = 20, ntyp = 3
/
ATOMIC_SPECIES
V 50.94 V.upf
Tc 98.00 Tc.upf
Os 190.23 Os.upf
CELL_PARAMETERS angstrom
5.729 -4.068 0.000
5.729 4.068 0.000
-0.590 0.000 6.186
ATOMIC_POSITIONS angstrom
V 4.483 3.230 3.772
V 3.547 1.781 5.903
V 6.090 3.230 5.507
V 3.698 1.240 2.626
V 7.026 1.781 3.376
V 3.404 -1.240 5.719
V 7.465 1.240 0.467
V 3.842 -1.781 2.810
V 7.170 -1.240 3.560
V 4.778 -3.230 0.679
V 7.321 -1.781 0.283
V 6.385 -3.230 2.414
Tc 2.200 0.327 4.360
Tc 2.494 -0.327 1.267
Tc 8.374 0.327 4.919
Tc 8.669 -0.327 1.826
Os 5.582 2.641 1.546
Os 5.287 0.236 4.639
Os 5.582 -0.236 1.546
Os 5.287 -2.641 4.639
```

Results
space-group type = C2/c (15)
distance to the lowest polymorph of the same formula = 0.1486 eV/atom
energy = -9.678 eV per atom
DFT formation energy = 0.11 eV/atom
crystal system = monoclinic